# 1
An optimized crystal structure of MgTc. Source: OQMD via LeMat-Bulk, functional PBE.

Cell: 9.4216 3.0908 4.5748 Å, 90.00 90.00 90.00°
Last column: nearest neighbours and their distance in Å.
Sites, in units of the cell vectors:
Tc 0.6744 0.0000 0.5000  2 Tc 2.51, 6 Mg 2.77-2.78
Tc 0.2422 0.5000 0.0000  2 Tc 2.51, 6 Mg 2.77-2.78
Tc 0.4651 0.5000 0.5000  6 Tc 2.51-2.76
Tc 0.4515 0.0000 0.0000  6 Tc 2.51-2.76
Mg 0.9969 0.0000 0.0000  2 Tc 2.78, 8 Mg 2.85-3.09
Mg 0.7033 0.5000 0.0000  6 Tc 2.77-2.83, 4 Mg 3.07-3.09
Mg 0.9199 0.5000 0.5000  2 Tc 2.78, 8 Mg 2.85-3.09
Mg 0.2135 0.0000 0.5000  6 Tc 2.77-2.83, 4 Mg 3.07-3.09

Properties
Electronic total energy: -5.805 eV per atom

# 2
An optimized crystal structure of TmScCu. Source: OQMD via LeMat-Bulk, functional PBE.

Cell: 4.5823 4.5823 4.5823 Å, 60.00 60.00 60.00°
Last column: nearest neighbours and their distance in Å.
Sites, in units of the cell vectors:
Tm 0.0000 0.0000 0.0000  4 Cu 2.81, 4 Sc 2.81
Cu 0.2500 0.2500 0.2500  4 Tm 2.81
Sc 0.7500 0.7500 0.7500  4 Tm 2.81

Properties
Energy relative to the elements: 2.15 eV per formula unit

# 3
An optimized crystal structure of TbPrSb2Se2. Source: OQMD via LeMat-Bulk, functional PBE.

Cell: 4.2018 4.2018 9.0641 Å, 90.00 90.00 90.00°
Last column: nearest neighbours and their distance in Å.
Sites, in units of the cell vectors:
Se 0.5000 0.5000 0.3789  1 Tb 2.94, 4 Pr 3.07
Tb 0.5000 0.5000 0.7029  5 Se 2.94-3.04
Sb 0.5000 0.0000 0.9955  4 Sb 2.97
Sb 0.0000 0.5000 0.9955  4 Sb 2.97
Pr 0.0000 0.0000 0.2949  5 Se 3.06-3.07
Se 0.0000 0.0000 0.6324  4 Tb 3.04, 1 Pr 3.06

Properties
Electronic total energy: -5.467 eV per atom